Compound: MgCr2B4
Source: the Alexandria database
Functional: GGA-PBE
Structure: relaxed

It has space group I4/mmm (No. 139), with a = 3.865 Å, b = 3.865 Å, c = 11.021 Å, α = 90.00°, β = 90.00° and γ = 90.00°. The inequivalent atoms are Mg at (0.000, 0.000, 0.000), Cr at (0.000, 0.000, 0.391), B at (0.000, 0.000, 0.208) and B at (0.000, 0.500, 0.000).

The energy of formation from the pure elements comes out at 1622 meV/atom. The calculation puts the energy at -5.1709 eV/atom.